VASP calculation (PBE+U) on crystalline Na2AcVF8 at its relaxed geometry.

The structure in POSCAR format:
```
Na2AcVF8
1.0
-3.486 -1.497 -2.237
1.412 -5.089 1.456
-4.167 0.589 6.099
F V Na Ac
8 1 2 1
Cartesian
-3.650 -2.294 -0.367
-2.889 -4.323 2.945
-3.351 -1.674 2.373
-2.591 -3.703 5.685
-0.911 -1.645 -0.463
-6.053 -1.954 3.152
-5.330 -4.351 5.782
-0.187 -4.043 2.167
0.000 0.000 0.000
-4.272 -2.836 4.345
-1.969 -3.161 0.974
-2.083 0.295 3.050
```

E_tot ... -5.678 eV/atom
Space group ... P2/m, No. 10
Crystal system ... monoclinic